Entry 1:
Tl2CuAgSb2 after structural relaxation, computed with PBE.

Uncorrected formation energy: 3.7 kJ per mole of atoms
D(E_F): 0.51 states/eV/atom

Unit cell a=6.2024 b=16.6135 c=6.1750 alpha=90.00 beta=90.00 gamma=90.00
Space group Ibam (No. 72)
Symmetry-distinct sites (fractional):
Tl1 0.2213 0.1768 0.0000
Cu1 0.0000 0.5000 0.2500
Ag1 0.0000 0.0000 0.2500
Sb1 0.2150 0.3974 0.0000



Entry 2:
AlHSe2 after structural relaxation, computed with PBE.

D(E_F): 0.00 states/eV/atom
E: -4.06 eV per atom

Unit cell a=6.1859 b=5.5458 c=5.5912 alpha=90.00 beta=90.00 gamma=90.00
Space group Pma2 (No. 28)
Symmetry-distinct sites (fractional):
Al1 0.0000 0.0000 0.0000
H1 0.2500 0.0393 0.4549
Se1 0.2500 0.2355 0.2602
Se2 0.2500 0.7616 0.7799



Entry 3:
Pm5Sb4C after structural relaxation, computed with PBE.

Uncorrected formation energy: -79.0 kJ per mole of atoms
D(E_F): 0.41 states/eV/atom

Unit cell a=9.6570 b=9.6570 c=6.2951 alpha=90.00 beta=90.00 gamma=90.00
Space group I4 (No. 79)
Symmetry-distinct sites (fractional):
Pm1 0.0000 0.0000 0.0000
Pm2 0.0939 0.2578 0.4431
Sb1 0.0847 0.3097 0.9400
C1 0.0000 0.0000 0.3906



Entry 4:
Fe3ReOs after structural relaxation, computed with PBE.

D(E_F): 1.52 states/eV/atom
DFT formation energy: 1.985 eV/atom

Unit cell a=4.3755 b=4.3755 c=4.3755 alpha=90.00 beta=90.00 gamma=90.00
Space group Pm-3m (No. 221)
Symmetry-distinct sites (fractional):
Fe1 0.0000 0.0000 0.5000
Re1 0.5000 0.5000 0.5000
Os1 0.0000 0.0000 0.0000



Entry 5:
Lu2AlTe after structural relaxation, computed with PBE.

Uncorrected formation energy: -63.7 kJ per mole of atoms
D(E_F): 0.41 states/eV/atom

Unit cell a=3.9914 b=3.9914 c=23.1014 alpha=90.00 beta=90.00 gamma=120.00
Space group R-3m (No. 166, hexagonal axes)
Symmetry-distinct sites (fractional):
Lu1 0.0000 0.0000 0.2469
Al1 0.0000 0.0000 0.5000
Te1 0.0000 0.0000 0.0000



Entry 6:
LiTePdO6 after structural relaxation, computed with PBE.

Uncorrected formation energy: -79.4 kJ per mole of atoms
D(E_F): 0.57 states/eV/atom

Unit cell a=5.1996 b=5.1996 c=9.2381 alpha=90.00 beta=90.00 gamma=120.00
Space group P-31c (No. 163)
Symmetry-distinct sites (fractional):
Li1 0.0000 0.0000 0.0000
Te1 0.3333 0.6667 0.2500
Pd1 0.3333 0.6667 0.7500
O1 0.0065 0.3598 0.1340



Entry 7:
Zr2PaSb3 after structural relaxation, computed with PBE.

Uncorrected formation energy: -49.6 kJ per mole of atoms
D(E_F): 1.05 states/eV/atom

Unit cell a=4.0602 b=11.0302 c=7.1158 alpha=90.00 beta=90.00 gamma=90.00
Space group Pmc2_1 (No. 26)
Symmetry-distinct sites (fractional):
Zr1 0.0000 0.0189 0.0000
Zr2 0.5000 0.2946 0.9826
Pa1 0.5000 0.3739 0.4976
Sb1 0.0000 0.2113 0.7163
Sb2 0.0000 0.4439 0.1796
Sb3 0.5000 0.1139 0.2736



Entry 8:
NaCe2Au3 after structural relaxation, computed with PBE.

D(E_F): 2.49 states/eV/atom
DFT formation energy: -0.502 eV/atom

Unit cell a=3.6139 b=3.6139 c=11.2137 alpha=90.00 beta=90.00 gamma=90.00
Space group P4/mmm (No. 123)
Symmetry-distinct sites (fractional):
Na1 0.0000 0.0000 0.0000
Ce1 0.0000 0.0000 0.3268
Au1 0.5000 0.5000 0.1678
Au2 0.5000 0.5000 0.5000